Record 1
# BW

A geometry-optimized BW structure (GGA-PBE, the Alexandria database).

Properties
**Relative energy among the computed polymorphs**: 0.4468 eV/atom
**DFT formation energy**: 8 kJ per mole of atoms
**Volume**: 12.8 A^3/atom
**Symmetry**: No. 176

Cell: 6.3871 6.3871 4.3559 Å, 90.00 90.00 120.00°
Element x y z (fractional)
B: 0.6971 0.0651 0.2500
B: 0.6320 0.6971 0.7500
B: 0.9349 0.6320 0.2500
B: 0.3029 0.9349 0.7500
B: 0.3680 0.3029 0.2500
B: 0.0651 0.3680 0.7500
W: 0.0592 0.3700 0.2500
W: 0.6891 0.0592 0.7500
W: 0.6300 0.6891 0.2500
W: 0.9408 0.6300 0.7500
W: 0.3109 0.9408 0.2500
W: 0.3700 0.3109 0.7500

=====

Record 2
# PrNd5Y5

A geometry-optimized PrNd5Y5 structure (GGA-PBE, the Alexandria database).

Properties
**Relative energy among the computed polymorphs**: 0.0487 eV/atom
**DFT formation energy**: 29 kJ per mole of atoms
**Volume**: 35.9 A^3/atom
**Symmetry**: No. 187

Cell: 6.1773 6.1773 11.9490 Å, 90.00 90.00 120.00°
Element x y z (fractional)
Pr: 0.3333 0.6667 0.0000
Nd: 0.6667 0.3333 0.1542
Nd: 0.6667 0.3333 0.8458
Nd: 0.3333 0.6667 0.3187
Nd: 0.3333 0.6667 0.6813
Nd: 0.0000 0.0000 0.0000
Y: 0.3328 0.1664 0.5000
Y: 0.0000 0.0000 0.2631
Y: 0.8336 0.6672 0.5000
Y: 0.8336 0.1664 0.5000
Y: 0.0000 0.0000 0.7369

=====

Record 3
# K2AcBiS4

A geometry-optimized K2AcBiS4 structure (GGA-PBE, the Alexandria database).

Properties
**E_form (uncorrected)**: -1.34 eV per atom
**Volume**: 29.7 A^3/atom
**Symmetry**: No. 10

Cell: 4.3086 7.4107 7.8414 Å, 108.47 90.00 90.00°
Element x y z (fractional)
K: 0.5000 0.0000 0.5000
K: 0.0000 0.5000 0.5000
Ac: 0.5000 0.5000 0.0000
Bi: 0.0000 0.0000 0.0000
S: 0.5000 0.2276 0.2108
S: 0.5000 0.7724 0.7892
S: 0.0000 0.2522 0.7858
S: 0.0000 0.7478 0.2142

=====

Record 4
# Ta6Fe5Tc

A geometry-optimized Ta6Fe5Tc structure (GGA-PBE, the Alexandria database).

Properties
**DFT formation energy**: -18 kJ per mole of atoms
**Volume**: 14.7 A^3/atom
**Symmetry**: No. 71

Cell: 4.3755 6.1648 7.5667 Å, 114.03 106.76 90.00°
Each line ends with the local moment (μB).
Element x y z (fractional)
Tc: 0.0000 0.0000 0.0000  0.00
Fe: 0.6665 0.1664 0.3329  1.11
Fe: 0.3331 0.3329 0.6658  1.21
Fe: 0.0000 0.5000 0.0000  1.07
Fe: 0.6669 0.6671 0.3342  1.21
Fe: 0.3335 0.8336 0.6671  1.11
Ta: 0.8310 0.5786 0.6622  -0.15
Ta: 0.8311 0.0836 0.6622  -0.15
Ta: 0.5000 0.7449 0.0000  -0.13
Ta: 0.5000 0.2551 0.0000  -0.13
Ta: 0.1689 0.9164 0.3378  -0.15
Ta: 0.1690 0.4214 0.3378  -0.15